No. 1
Below is NdDy2CrN4 after structural relaxation, with properties calculated at the PBE-GGA level.

Structure (POSCAR):
```
NdDy2CrN4
1.0
-2.418 -1.182 -2.098
4.839 1.134 -3.441
3.789 -10.859 1.750
Nd Dy Cr N
2 4 2 8
Direct
0.096 0.192 0.750
0.904 0.808 0.250
0.369 0.738 0.543
0.631 0.262 0.043
0.631 0.262 0.457
0.369 0.738 0.957
0.833 0.666 0.750
0.167 0.334 0.250
0.265 0.530 0.128
0.735 0.470 0.628
0.735 0.470 0.872
0.265 0.530 0.372
0.000 0.000 0.500
0.000 0.000 0.000
0.421 0.842 0.750
0.579 0.158 0.250
```

Properties
- Formation energy without anion corrections: -1239 meV per atom
- Calculated total energy: -8.35 eV/atom
- Mass density: 8.33 g cm⁻³


No. 2
Below is Nd2DyCrN4 after structural relaxation, with properties calculated at the PBE-GGA level.

Structure (POSCAR):
```
Nd2DyCrN4
1.0
-2.569 -1.695 -1.522
4.539 0.243 -4.059
4.408 -10.545 4.299
Nd Dy Cr N
4 2 2 8
Direct
0.367 0.734 0.542
0.633 0.266 0.042
0.633 0.266 0.458
0.367 0.734 0.958
0.117 0.235 0.750
0.883 0.765 0.250
0.839 0.679 0.750
0.161 0.321 0.250
0.274 0.548 0.141
0.726 0.452 0.641
0.726 0.452 0.859
0.274 0.548 0.359
0.000 0.000 0.500
0.000 0.000 0.000
0.421 0.842 0.750
0.579 0.158 0.250
```

Properties
- Formation energy without anion corrections: -1005 meV per atom
- Calculated total energy: -8.14 eV/atom
- Mass density: 7.57 g cm⁻³


No. 3
Below is NdDyCrN3 after structural relaxation, with properties calculated at the PBE-GGA level.

Structure (POSCAR):
```
NdDyCrN3
1.0
3.431 0.000 0.000
0.000 7.388 0.833
0.000 -1.939 7.096
Nd Dy Cr N
2 2 2 6
Direct
0.750 0.821 0.818
0.250 0.179 0.182
0.250 0.634 0.170
0.750 0.366 0.830
0.250 0.082 0.597
0.750 0.918 0.403
0.250 0.839 0.481
0.750 0.878 0.154
0.750 0.406 0.148
0.750 0.161 0.519
0.250 0.594 0.852
0.250 0.122 0.846
```

Properties
- Formation energy without anion corrections: -1096 meV per atom
- Calculated total energy: -8.42 eV/atom
- Mass density: 7.18 g cm⁻³


No. 4
Below is Dy2NpCrN5 after structural relaxation, with properties calculated at the PBE-GGA level.

Structure (POSCAR):
```
Dy2NpCrN5
1.0
-2.434 -1.792 -1.526
2.484 -4.322 4.870
-6.755 3.553 6.600
Dy Np Cr N
4 2 2 10
Direct
0.868 0.736 0.803
0.104 0.208 0.690
0.132 0.264 0.303
0.896 0.792 0.190
0.790 0.579 0.511
0.210 0.421 0.011
0.517 0.034 0.962
0.483 0.966 0.462
0.375 0.750 0.001
0.683 0.365 0.880
0.492 0.985 0.783
0.283 0.565 0.654
0.955 0.909 0.540
0.625 0.250 0.501
0.317 0.635 0.380
0.508 0.015 0.283
0.717 0.435 0.154
0.045 0.091 0.040
```

Properties
- Formation energy without anion corrections: -1142 meV per atom
- Calculated total energy: -9.30 eV/atom
- Mass density: 9.84 g cm⁻³


No. 5
Below is Dy2CrPN5 after structural relaxation, with properties calculated at the PBE-GGA level.

Structure (POSCAR):
```
Dy2CrPN5
1.0
-1.259 -2.427 -1.409
-2.258 -0.663 6.518
-7.974 5.420 -2.211
Dy Cr P N
4 2 2 10
Direct
0.861 0.722 0.820
0.113 0.226 0.674
0.139 0.278 0.320
0.887 0.774 0.174
0.787 0.575 0.538
0.213 0.425 0.038
0.560 0.119 0.928
0.440 0.881 0.428
0.347 0.694 0.008
0.677 0.355 0.887
0.496 0.991 0.791
0.292 0.584 0.657
0.956 0.912 0.519
0.653 0.306 0.508
0.323 0.645 0.387
0.504 0.009 0.291
0.708 0.416 0.157
0.044 0.088 0.019
```

Properties
- Formation energy without anion corrections: -948 meV per atom
- Calculated total energy: -8.27 eV/atom
- Mass density: 7.72 g cm⁻³


No. 6
Below is PmDyCrN3 after structural relaxation, with properties calculated at the PBE-GGA level.

Structure (POSCAR):
```
PmDyCrN3
1.0
3.422 0.000 0.000
0.000 7.317 0.848
0.000 -1.910 7.111
Pm Dy Cr N
2 2 2 6
Direct
0.750 0.824 0.822
0.250 0.176 0.178
0.250 0.633 0.170
0.750 0.367 0.830
0.250 0.082 0.598
0.750 0.918 0.402
0.250 0.838 0.480
0.750 0.881 0.154
0.750 0.403 0.147
0.750 0.162 0.520
0.250 0.597 0.853
0.250 0.119 0.846
```

Properties
- Formation energy without anion corrections: -1112 meV per atom
- Calculated total energy: -8.44 eV/atom
- Mass density: 7.26 g cm⁻³


No. 7
Below is PrDy2CrN4 after structural relaxation, with properties calculated at the PBE-GGA level.

Structure (POSCAR):
```
PrDy2CrN4
1.0
3.423 0.000 0.000
-1.711 5.826 0.000
0.000 0.000 11.637
Pr Dy Cr N
2 4 2 8
Direct
0.094 0.188 0.750
0.906 0.812 0.250
0.369 0.738 0.543
0.631 0.262 0.043
0.631 0.262 0.457
0.369 0.738 0.957
0.831 0.663 0.750
0.169 0.337 0.250
0.264 0.528 0.127
0.736 0.472 0.627
0.736 0.472 0.873
0.264 0.528 0.373
0.000 0.000 0.500
0.000 0.000 0.000
0.419 0.837 0.750
0.581 0.163 0.250
```

Properties
- Formation energy without anion corrections: -1238 meV per atom
- Calculated total energy: -8.35 eV/atom
- Mass density: 8.21 g cm⁻³


No. 8
Below is PrDyCrN4 after structural relaxation, with properties calculated at the PBE-GGA level.

Structure (POSCAR):
```
PrDyCrN4
1.0
-1.725 3.977 -3.532
-2.284 -3.850 -3.220
-4.924 -0.987 4.674
Pr Dy Cr N
2 2 2 8
Direct
0.723 0.750 0.933
0.277 0.250 0.067
0.795 0.750 0.462
0.205 0.250 0.538
0.242 0.750 0.310
0.758 0.250 0.690
0.967 0.495 0.744
0.033 0.995 0.256
0.033 0.505 0.256
0.967 0.005 0.744
0.441 0.750 0.157
0.559 0.250 0.843
0.417 0.750 0.563
0.583 0.250 0.437
```

Properties
- Formation energy without anion corrections: -1096 meV per atom
- Calculated total energy: -8.57 eV/atom
- Mass density: 6.80 g cm⁻³


No. 9
Below is DyPu2CrN4 after structural relaxation, with properties calculated at the PBE-GGA level.

Structure (POSCAR):
```
DyPu2CrN4
1.0
3.317 0.000 0.000
-1.658 5.697 0.000
0.000 0.000 11.490
Dy Pu Cr N
2 4 2 8
Direct
0.112 0.224 0.750
0.888 0.776 0.250
0.367 0.734 0.549
0.633 0.266 0.049
0.633 0.266 0.451
0.367 0.734 0.951
0.848 0.696 0.750
0.152 0.304 0.250
0.269 0.539 0.128
0.731 0.461 0.628
0.731 0.461 0.872
0.269 0.539 0.372
0.000 0.000 0.500
0.000 0.000 0.000
0.449 0.897 0.750
0.551 0.103 0.250
```

Properties
- Formation energy without anion corrections: -1063 meV per atom
- Calculated total energy: -10.59 eV/atom
- Mass density: 11.60 g cm⁻³


No. 10
Below is Dy2CrReN5 after structural relaxation, with properties calculated at the PBE-GGA level.

Structure (POSCAR):
```
Dy2CrReN5
1.0
3.224 0.000 0.000
-1.612 7.060 0.000
0.000 0.000 9.386
Dy Cr Re N
4 2 2 10
Direct
0.879 0.758 0.803
0.132 0.263 0.684
0.121 0.242 0.303
0.868 0.737 0.184
0.778 0.556 0.500
0.222 0.444 0.000
0.571 0.142 0.978
0.429 0.858 0.478
0.350 0.699 0.997
0.696 0.392 0.863
0.513 0.027 0.800
0.308 0.617 0.634
0.977 0.953 0.564
0.650 0.301 0.497
0.304 0.608 0.363
0.487 0.973 0.300
0.692 0.383 0.134
0.023 0.047 0.064
```

Properties
- Formation energy without anion corrections: -795 meV per atom
- Calculated total energy: -8.90 eV/atom
- Mass density: 9.84 g cm⁻³


No. 11
Below is Sr2DyCrN4 after structural relaxation, with properties calculated at the PBE-GGA level.

Structure (POSCAR):
```
Sr2DyCrN4
1.0
-3.045 -3.322 3.207
-1.375 -4.051 -5.502
5.918 -4.005 1.471
Sr Dy Cr N
4 2 2 8
Direct
0.466 0.333 0.253
0.466 0.333 0.747
0.966 0.667 0.753
0.966 0.667 0.247
0.983 0.134 0.500
0.483 0.866 0.000
0.502 0.835 0.500
0.002 0.165 0.000
0.322 0.151 0.000
0.822 0.849 0.500
0.390 0.078 0.500
0.890 0.922 0.000
0.436 0.708 0.715
0.936 0.292 0.215
0.936 0.292 0.785
0.436 0.708 0.285
```

Properties
- Formation energy without anion corrections: -866 meV per atom
- Calculated total energy: -7.23 eV/atom
- Mass density: 5.26 g cm⁻³


No. 12
Below is DyTh2CrN5 after structural relaxation, with properties calculated at the PBE-GGA level.

Structure (POSCAR):
```
DyTh2CrN5
1.0
5.727 0.000 0.000
0.000 6.729 0.000
0.000 0.000 6.729
Dy Th Cr N
2 4 2 10
Direct
0.000 0.500 0.500
0.000 0.000 0.000
0.500 0.670 0.170
0.500 0.170 0.330
0.500 0.830 0.670
0.500 0.330 0.830
0.000 0.000 0.500
0.000 0.500 0.000
0.500 0.500 0.500
0.500 0.000 0.000
0.226 0.141 0.641
0.226 0.859 0.359
0.226 0.359 0.141
0.226 0.641 0.859
0.774 0.141 0.641
0.774 0.641 0.859
0.774 0.859 0.359
0.774 0.359 0.141
```

Properties
- Formation energy without anion corrections: -1043 meV per atom
- Calculated total energy: -8.90 eV/atom
- Mass density: 9.59 g cm⁻³


No. 13
Below is Dy2ThCrN4 after structural relaxation, with properties calculated at the PBE-GGA level.

Structure (POSCAR):
```
Dy2ThCrN4
1.0
-3.312 -0.671 -0.399
1.171 -0.635 5.867
-2.482 11.232 1.711
Dy Th Cr N
4 2 2 8
Direct
0.369 0.738 0.546
0.631 0.262 0.046
0.631 0.262 0.454
0.369 0.738 0.954
0.102 0.204 0.750
0.898 0.796 0.250
0.840 0.680 0.750
0.160 0.320 0.250
0.271 0.541 0.130
0.729 0.459 0.630
0.729 0.459 0.870
0.271 0.541 0.370
0.000 0.000 0.500
0.000 0.000 0.000
0.436 0.872 0.750
0.564 0.128 0.250
```

Properties
- Formation energy without anion corrections: -1271 meV per atom
- Calculated total energy: -8.71 eV/atom
- Mass density: 9.67 g cm⁻³